Entry from Alexandria: a relaxed structure of Tb2CePr2Ho2 (PBE-GGA). Values from VASP.

Output
spin magnetization = 1.4 μB per formula unit
E_tot = -32.9 eV per formula unit
formation energy = 143 meV per atom

Cell and atoms, written as Quantum ESPRESSO input:
```
&SYSTEM
  ibrav = 0, nat = 7, ntyp = 4
/
ATOMIC_SPECIES
Ho 164.93 Ho.upf
Tb 158.93 Tb.upf
Ce 140.12 Ce.upf
Pr 140.91 Pr.upf
CELL_PARAMETERS angstrom
-5.528 -1.373 -1.510
4.551 0.005 -5.170
-2.679 -4.592 13.987
ATOMIC_POSITIONS crystal
Ho 0.847 0.695 0.784
Ho 0.153 0.305 0.216
Tb 0.413 0.825 0.624
Tb 0.587 0.175 0.376
Ce 0.000 0.000 0.500
Pr 0.286 0.572 0.934
Pr 0.714 0.428 0.066
```